Arrangement i

A relaxed structure of Nb2SiF, computed with PBE.

Cell lengths 8.640, 8.640, 8.640 Å; angles 152.64, 152.64, 39.09 degrees
Element x y z (fractional)
Nb  0.121  0.625  0.996
Nb  0.375  0.371  0.496
Nb  0.629  0.125  0.004
Nb  0.875  0.879  0.504
Si  0.250  0.750  0.500
Si  0.500  0.500  0.000
F  0.000  0.000  0.000
F  0.750  0.250  0.500

Results
SG   I-42d


Arrangement ii

A relaxed structure of Nb2SiF, computed with PBE.

Cell lengths 4.384, 4.384, 4.384 Å; angles 60.00, 60.00, 60.00 degrees
Element x y z (fractional)
Nb  0.250  0.250  0.250
Nb  0.750  0.750  0.750
Si  0.000  0.000  0.000
F  0.500  0.500  0.500

Results
SG   Fm-3m


Which of them is most stable, and which least? Most stable: arrangement ii; least stable: arrangement i.


Arrangement i

A relaxed structure of NbSi3F, computed with PBE.

Cell lengths 4.225, 4.225, 4.225 Å; angles 90.00, 90.00, 90.00 degrees
Element x y z (fractional)
Nb  0.000  0.000  0.000
Si  0.000  0.500  0.500
Si  0.500  0.000  0.500
Si  0.500  0.500  0.000
F  0.500  0.500  0.500

Results
SG   Pm-3m


Arrangement ii

A relaxed structure of NbSi3F, computed with PBE.

Cell lengths 4.851, 4.851, 4.851 Å; angles 90.00, 90.00, 90.00 degrees
Element x y z (fractional)
Nb  0.000  0.000  0.000
Si  0.000  0.000  0.500
Si  0.000  0.500  0.000
Si  0.500  0.000  0.000
F  0.500  0.500  0.500

Results
SG   Pm-3m


Which of them is most stable, and which least? Most stable: arrangement i; least stable: arrangement ii.


Arrangement i

A relaxed structure of NbSnF2, computed with PBE.

Cell lengths 8.137, 8.137, 8.137 Å; angles 150.42, 150.42, 42.33 degrees
Element x y z (fractional)
Nb  0.000  0.000  0.000
Nb  0.750  0.250  0.500
Sn  0.250  0.750  0.500
Sn  0.500  0.500  0.000
F  0.023  0.625  0.898
F  0.375  0.273  0.398
F  0.727  0.125  0.102
F  0.875  0.977  0.602

Results
SG   I-42d


Arrangement ii

A relaxed structure of NbSnF2, computed with PBE.

Cell lengths 4.402, 4.402, 4.402 Å; angles 60.00, 60.00, 60.00 degrees
Element x y z (fractional)
Nb  0.000  0.000  0.000
Sn  0.500  0.500  0.500
F  0.250  0.250  0.250
F  0.750  0.750  0.750

Results
SG   Fm-3m


Arrangement iii

A relaxed structure of NbSnF2, computed with PBE.

Cell lengths 10.493, 10.493, 10.493 Å; angles 16.18, 16.18, 16.18 degrees
Element x y z (fractional)
Nb  0.000  0.000  0.000
Sn  0.500  0.500  0.500
F  0.381  0.381  0.381
F  0.619  0.619  0.619

Results
SG   R-3m


Which of them is most stable, and which least? Most stable: arrangement iii; least stable: arrangement ii.


Arrangement i

A relaxed structure of NbSn2F, computed with PBE.

Cell lengths 5.926, 5.926, 5.926 Å; angles 107.24, 107.24, 114.04 degrees
Element x y z (fractional)
Nb  0.000  0.000  0.000
Nb  0.750  0.250  0.500
Sn  0.181  0.625  0.056
Sn  0.375  0.431  0.556
Sn  0.569  0.125  0.944
Sn  0.875  0.819  0.444
F  0.250  0.750  0.500
F  0.500  0.500  0.000

Results
SG   I-42d


Arrangement ii

A relaxed structure of NbSn2F, computed with PBE.

Cell lengths 4.853, 4.853, 4.853 Å; angles 60.00, 60.00, 60.00 degrees
Element x y z (fractional)
Nb  0.000  0.000  0.000
Sn  0.250  0.250  0.250
Sn  0.750  0.750  0.750
F  0.500  0.500  0.500

Results
SG   Fm-3m


Which of them is most stable, and which least? Most stable: arrangement i; least stable: arrangement ii.


Arrangement i

A relaxed structure of Nb2SnF, computed with PBE.

Cell lengths 4.631, 4.631, 4.631 Å; angles 60.00, 60.00, 60.00 degrees
Element x y z (fractional)
Nb  0.250  0.250  0.250
Nb  0.750  0.750  0.750
Sn  0.000  0.000  0.000
F  0.500  0.500  0.500

Results
SG   Fm-3m


Arrangement ii

A relaxed structure of Nb2SnF, computed with PBE.

Cell lengths 8.045, 8.045, 8.045 Å; angles 144.71, 144.71, 50.77 degrees
Element x y z (fractional)
Nb  0.375  0.153  0.278
Nb  0.847  0.125  0.222
Nb  0.875  0.097  0.722
Nb  0.903  0.625  0.778
Sn  0.250  0.750  0.500
Sn  0.500  0.500  0.000
F  0.000  0.000  0.000
F  0.750  0.250  0.500

Results
SG   I-42d


Which of them is most stable, and which least? Most stable: arrangement i; least stable: arrangement ii.


Arrangement i

A relaxed structure of SrNbF3, computed with PBE.

Cell lengths 4.525, 4.525, 4.525 Å; angles 90.00, 90.00, 90.00 degrees
Element x y z (fractional)
Sr  0.000  0.000  0.000
Nb  0.500  0.500  0.500
F  0.000  0.500  0.500
F  0.500  0.000  0.500
F  0.500  0.500  0.000

Results
SG   Pm-3m


Arrangement ii

A relaxed structure of SrNbF3, computed with PBE.

Cell lengths 4.702, 4.702, 4.702 Å; angles 90.00, 90.00, 90.00 degrees
Element x y z (fractional)
Sr  0.000  0.000  0.000
Nb  0.500  0.500  0.500
F  0.000  0.000  0.500
F  0.000  0.500  0.000
F  0.500  0.000  0.000

Results
SG   Pm-3m


Which of them is most stable, and which least? Most stable: arrangement i; least stable: arrangement ii.